1.
# Ac2HgBr2

A relaxed structure of Ac2HgBr2 (PBE, Alexandria).

Cell lengths 4.5367, 4.5367, 34.5600 Å; angles 90.00, 90.00, 120.00 degrees
Space group R-3m (No. 166, hexagonal axes)
Inequivalent atoms, fractional coordinates:
Ac  0.0000  0.0000  0.1079 (multiplicity 6)
Hg  0.0000  0.0000  0.5000 (multiplicity 3)
Br  0.0000  0.0000  0.2796 (multiplicity 6)

Values from the calculation:
Formation energy from raw total energies = -1.208 eV per atom
N(E_F) = 13.53 states/eV per cell
Volume = 616.0 Å³/cell

2.
# Ac4Hg2IrBr

A relaxed structure of Ac4Hg2IrBr (PBE, Alexandria).

Cell lengths 8.117, 4.400, 8.363 Å; angles 90.00, 106.71, 90.00 degrees
Space group P2/m (No. 10)
Inequivalent atoms, fractional coordinates:
Ac  0.205  0.000  0.212 (multiplicity 2)
Ac  0.222  0.500  0.770 (multiplicity 2)
Hg  0.000  0.000  0.500 (multiplicity 1)
Hg  0.500  0.500  0.500 (multiplicity 1)
Ir  0.000  0.500  0.000 (multiplicity 1)
Br  0.500  0.000  0.000 (multiplicity 1)

Values from the calculation:
Formation energy from raw total energies = -0.719 eV per atom
N(E_F) = 7.65 states/eV per cell
Volume = 286.1 Å³/cell

3.
# Ac6HgIr2Br3

A relaxed structure of Ac6HgIr2Br3 (PBE, Alexandria).

Cell lengths 7.772, 13.465, 8.633 Å; angles 90.00, 107.47, 90.00 degrees
Space group C2/m (No. 12)
Inequivalent atoms, fractional coordinates:
Ac  0.206  0.000  0.200 (multiplicity 4)
Ac  0.247  0.320  0.199 (multiplicity 8)
Hg  0.000  0.500  0.000 (multiplicity 2)
Ir  0.000  0.167  0.000 (multiplicity 4)
Br  0.000  0.000  0.500 (multiplicity 2)
Br  0.000  0.333  0.500 (multiplicity 4)

Values from the calculation:
Formation energy from raw total energies = -1.080 eV per atom
N(E_F) = 14.25 states/eV per cell
Volume = 861.7 Å³/cell

4.
# KAcHgBr6

A relaxed structure of KAcHgBr6 (PBE, Alexandria).

Cell lengths 7.5885, 7.5885, 14.6713 Å; angles 90.00, 90.00, 120.00 degrees
Space group P-31c (No. 163)
Inequivalent atoms, fractional coordinates:
K  0.0000  0.0000  0.0000 (multiplicity 2)
Ac  0.3333  0.6667  0.2500 (multiplicity 2)
Hg  0.3333  0.6667  0.7500 (multiplicity 2)
Br  0.0184  0.3718  0.6340 (multiplicity 12)

Values from the calculation:
Formation energy from raw total energies = -1.410 eV per atom
N(E_F) = 0.00 states/eV per cell
Volume = 731.7 Å³/cell

5.
# AcNdHgBr

A relaxed structure of AcNdHgBr (PBE, Alexandria).

Cell lengths 7.884, 7.884, 7.884 Å; angles 90.00, 90.00, 90.00 degrees
Space group F-43m (No. 216)
Inequivalent atoms, fractional coordinates:
Ac  0.000  0.000  0.000 (multiplicity 4)
Nd  0.000  0.000  0.500 (multiplicity 4)
Hg  0.250  0.250  0.750 (multiplicity 4)
Br  0.250  0.250  0.250 (multiplicity 4)

Values from the calculation:
Formation energy from raw total energies = -0.654 eV per atom
N(E_F) = 19.95 states/eV per cell
Volume = 490.0 Å³/cell

6.
# Ac6Ni2HgBr3

A relaxed structure of Ac6Ni2HgBr3 (PBE, Alexandria).

Cell lengths 20.740, 4.378, 9.735 Å; angles 90.00, 108.08, 90.00 degrees
Space group C2/m (No. 12)
Inequivalent atoms, fractional coordinates:
Ac  0.022  0.000  0.257 (multiplicity 4)
Ac  0.163  0.500  0.128 (multiplicity 4)
Ac  0.182  0.500  0.556 (multiplicity 4)
Ni  0.170  0.000  0.341 (multiplicity 4)
Hg  0.000  0.500  0.000 (multiplicity 2)
Br  0.000  0.500  0.500 (multiplicity 2)
Br  0.163  0.000  0.835 (multiplicity 4)

Values from the calculation:
Formation energy from raw total energies = -0.816 eV per atom
N(E_F) = 16.66 states/eV per cell
Volume = 840.3 Å³/cell

7.
# Ac4NiHgBr2

A relaxed structure of Ac4NiHgBr2 (PBE, Alexandria).

Cell lengths 8.074, 4.424, 8.333 Å; angles 90.00, 107.96, 90.00 degrees
Space group P2/m (No. 10)
Inequivalent atoms, fractional coordinates:
Ac  0.221  0.000  0.204 (multiplicity 2)
Ac  0.226  0.500  0.779 (multiplicity 2)
Ni  0.000  0.500  0.000 (multiplicity 1)
Hg  0.500  0.000  0.000 (multiplicity 1)
Br  0.000  0.000  0.500 (multiplicity 1)
Br  0.500  0.500  0.500 (multiplicity 1)

Values from the calculation:
Formation energy from raw total energies = -0.796 eV per atom
N(E_F) = 7.72 states/eV per cell
Volume = 283.2 Å³/cell

8.
# AcHgBrO2

A relaxed structure of AcHgBrO2 (PBE, Alexandria).

Cell lengths 6.897, 4.025, 8.180 Å; angles 90.00, 98.85, 90.00 degrees
Space group P2_1/m (No. 11)
Inequivalent atoms, fractional coordinates:
Ac  0.132  0.250  0.210 (multiplicity 2)
Hg  0.373  0.250  0.841 (multiplicity 2)
Br  0.235  0.750  0.551 (multiplicity 2)
O  0.087  0.250  0.890 (multiplicity 2)
O  0.334  0.750  0.165 (multiplicity 2)

Values from the calculation:
Formation energy from raw total energies = -1.912 eV per atom
N(E_F) = 0.00 states/eV per cell
Volume = 224.4 Å³/cell